(1)
## RbGaSn3 (PBE)

Data for a relaxed RbGaSn3 crystal.

Output
E_form = 1.256 eV per atom
DOS(E_F) = 3.592 states/eV per cell
Size of the total moment = 0.00 μB per formula unit
DFT total energy = -9.7 eV/f.u.

Cell lengths 6.100, 6.100, 6.100 Å; angles 90.00, 90.00, 90.00 degrees
Positions (direct):
Sn: 0.000 0.500 0.000
Sn: 0.500 0.000 0.000
Sn: 0.000 0.000 0.500
Ga: 0.500 0.500 0.500
Rb: 0.000 0.000 0.000

***

(2)
## RbGa2Sn4 (PBE)

Data for a relaxed RbGa2Sn4 crystal.

Output
E_form = -0.025 eV per atom
DOS(E_F) = 6.517 states/eV per cell
Size of the total moment = 0.00 μB per formula unit
DFT total energy = -23.2 eV/f.u.

Cell lengths 4.503, 9.443, 9.443 Å; angles 90.00, 90.00, 90.00 degrees
Positions (direct):
Sn: 0.000 0.672 0.924
Sn: 0.500 0.172 0.576
Sn: 0.500 0.424 0.828
Sn: 0.000 0.076 0.328
Sn: 0.500 0.828 0.424
Sn: 0.000 0.328 0.076
Sn: 0.000 0.924 0.672
Sn: 0.500 0.576 0.172
Ga: 0.000 0.219 0.781
Ga: 0.500 0.281 0.281
Ga: 0.000 0.781 0.219
Ga: 0.500 0.719 0.719
Rb: 0.000 0.500 0.500
Rb: 0.500 0.000 0.000

***

Which formula does entry 1 have? RbGaSn3

***

The lowest E_form belongs to which entry? RbGa2Sn4